YPIr3 | Alexandria via LeMat-Bulk | PBE | optimized geometry; uncorrected energy = -42.37 eV/cell; E_form = -0.7826 eV/atom; SG = I4mm, No. 107; calculated volume = 16.93 Å³ per atom; energy relative to the lowest polymorph listed for this composition = 0.000 eV per atom
1.0
-2.9540 2.6758 -0.2453
-2.6071 -2.7658 1.2246
-1.9146 1.3721 5.5312
Ir P Y
3 1 1
direct
0.8117 0.6151 0.0823 Ir
0.6388 0.9425 0.4274 Ir
0.1390 0.4423 0.4274 Ir
0.0216 0.8251 0.6620 P
0.3968 0.2002 0.9120 Y

---

Y2PIr | Alexandria via LeMat-Bulk | PBE | optimized geometry; uncorrected energy = -31.02 eV/cell; E_form = -0.9553 eV/atom; SG = R-3m, No. 166; calculated volume = 23.21 Å³ per atom
1.0
6.7275 -2.0111 -0.0085
6.7275 2.0111 -0.0085
6.1306 0.0000 3.4234
Y Ir P
2 1 1
direct
0.2494 0.2494 0.2494 Y
0.7506 0.7506 0.7506 Y
0.0000 0.0000 0.0000 Ir
0.5000 0.5000 0.5000 P

---

YP2Ir2 | Alexandria via LeMat-Bulk | PBE | optimized geometry; uncorrected energy = -72.27 eV/cell; E_form = -0.2260 eV/atom; SG = P4/mbm, No. 127; calculated volume = 16.75 Å³ per atom
1.0
-5.9099 -4.0214 1.8496
0.2288 -3.3589 -6.5715
1.8389 -2.1642 1.1702
P Y Ir
4 2 4
direct
0.1967 0.6967 0.5000 P
0.6967 0.8033 0.5000 P
0.8033 0.3033 0.5000 P
0.3033 0.1967 0.5000 P
0.0000 0.0000 0.0000 Y
0.5000 0.5000 0.0000 Y
0.8716 0.6284 0.0000 Ir
0.1284 0.3716 0.0000 Ir
0.6284 0.1284 0.0000 Ir
0.3716 0.8716 0.0000 Ir

---

YP3Ir | Alexandria via LeMat-Bulk | PBE | optimized geometry; uncorrected energy = -31.18 eV/cell; E_form = 0.0749 eV/atom; SG = Pm-3m, No. 221; calculated volume = 20.53 Å³ per atom
1.0
4.6825 0.0000 0.0000
0.0000 4.6825 0.0000
0.0000 0.0000 4.6825
P Y Ir
3 1 1
direct
0.0000 0.5000 0.0000 P
0.5000 0.0000 0.0000 P
0.0000 0.0000 0.5000 P
0.5000 0.5000 0.5000 Y
0.0000 0.0000 0.0000 Ir

---

Y2P3Ir5 | Alexandria via LeMat-Bulk | PBE | optimized geometry; uncorrected energy = -162.12 eV/cell; E_form = -0.7597 eV/atom; SG = Cmc2_1, No. 36; calculated volume = 16.50 Å³ per atom
1.0
3.9225 0.0000 -0.6682
0.0000 6.6435 0.0000
0.1357 0.0000 12.6439
Ir P Y
10 6 4
direct
0.7388 0.0047 0.4775 Ir
0.2612 0.5047 0.5225 Ir
0.4112 0.4063 0.8224 Ir
0.1156 0.1961 0.2311 Ir
0.8844 0.6961 0.7689 Ir
0.0592 0.6102 0.1184 Ir
0.6862 0.3704 0.3725 Ir
0.9408 0.1102 0.8816 Ir
0.5888 0.9063 0.1776 Ir
0.3137 0.8704 0.6275 Ir
0.7876 0.6890 0.5751 P
0.3897 0.0568 0.7794 P
0.2124 0.1890 0.4249 P
0.6103 0.5568 0.2206 P
0.0410 0.9803 0.0820 P
0.9590 0.4803 0.9180 P
0.4742 0.7850 0.9484 Y
0.1759 0.7661 0.3518 Y
0.5258 0.2850 0.0516 Y
0.8241 0.2661 0.6482 Y

---

Y3PIr3 | Alexandria via LeMat-Bulk | PBE | optimized geometry; uncorrected energy = -112.50 eV/cell; E_form = -0.6947 eV/atom; SG = P2_1/m, No. 11; calculated volume = 21.18 Å³ per atom
1.0
4.2870 0.0000 0.0000
0.0000 7.0553 0.0665
0.0000 -3.7027 9.7690
Ir Y P
6 6 2
direct
0.7500 0.6777 0.3782 Ir
0.2500 0.3223 0.6218 Ir
0.7500 0.3861 0.5010 Ir
0.2500 0.6139 0.4990 Ir
0.7500 0.4451 0.7913 Ir
0.2500 0.5549 0.2087 Ir
0.2500 0.7363 0.8016 Y
0.7500 0.2637 0.1984 Y
0.7500 0.0044 0.6266 Y
0.7500 0.7093 0.0813 Y
0.2500 0.9956 0.3734 Y
0.2500 0.2907 0.9187 Y
0.7500 0.0125 0.8905 P
0.2500 0.9875 0.1095 P